Here is Be2AlSb at its PBEsol-relaxed geometry from the Alexandria database. Energies are from meta-GGA SCAN.

Total magnetization   0.00 μB per cell
ΔE_f (raw)   544 meV per atom
E above lowest polymorph   117 meV per atom

Lattice parameters (Å, degrees): 7.4390 7.4390 7.4390 24.82 24.82 24.82
Closest atoms and distances in Å follow each position.
Atoms (fractional coordinates):
Be: 0.2479 0.2479 0.2479  3 Al 2.55, 3 Sb 2.61
Be: 0.7521 0.7521 0.7521  3 Al 2.55, 3 Sb 2.61
Al: 0.5000 0.5000 0.5000  6 Be 2.55
Sb: 0.0000 0.0000 0.0000  6 Be 2.61

Here is Be2AlSb at its PBEsol-relaxed geometry from the Alexandria database. Energies are from meta-GGA SCAN.

Total magnetization   0.00 μB per cell
ΔE_f (raw)   427 meV per atom
E above lowest polymorph   0 meV per atom

Lattice parameters (Å, degrees): 2.9367 3.7245 5.7766 90.00 96.13 90.00
Closest atoms and distances in Å follow each position.
Atoms (fractional coordinates):
Be: 0.0064 0.0000 0.1844  1 Be 2.13
Be: 0.9936 0.0000 0.8156  1 Be 2.13
Al: 0.5000 0.5000 0.0000  8 Be 2.54-2.65
Sb: 0.0000 0.5000 0.5000  4 Be 2.61

Here is Sc2BeAl at its PBEsol-relaxed geometry from the Alexandria database. Energies are from meta-GGA SCAN.

ΔH_f (0 K)   -252 meV per atom
Total magnetization   0.00 μB per cell
E above lowest polymorph   0 meV per atom

Lattice parameters (Å, degrees): 4.6125 4.6125 4.6125 60.00 60.00 60.00
Closest atoms and distances in Å follow each position.
Atoms (fractional coordinates):
Sc: 0.2500 0.2500 0.2500  4 Al 2.82, 4 Be 2.82
Sc: 0.7500 0.7500 0.7500  4 Be 2.82, 4 Al 2.82
Be: 0.0000 0.0000 0.0000  8 Sc 2.82
Al: 0.5000 0.5000 0.5000  8 Sc 2.82

Here is Sc2BeAl at its PBEsol-relaxed geometry from the Alexandria database. Energies are from meta-GGA SCAN.

ΔH_f (0 K)   -245 meV per atom
Total magnetization   0.00 μB per cell
E above lowest polymorph   7 meV per atom

Lattice parameters (Å, degrees): 4.5985 4.5985 3.2837 90.00 90.00 90.00
Closest atoms and distances in Å follow each position.
Atoms (fractional coordinates):
Sc: 0.0000 0.5000 0.0000  4 Al 2.83, 4 Be 2.83
Sc: 0.5000 0.0000 0.0000  4 Al 2.83, 4 Be 2.83
Be: 0.0000 0.0000 0.5000  8 Sc 2.83
Al: 0.5000 0.5000 0.5000  8 Sc 2.83

Here is Sc2BeAl at its PBEsol-relaxed geometry from the Alexandria database. Energies are from meta-GGA SCAN.

ΔH_f (0 K)   -92 meV per atom
Total magnetization   0.34 μB per cell
E above lowest polymorph   160 meV per atom

Lattice parameters (Å, degrees): 2.9892 2.9892 7.7440 90.00 90.00 90.00
Closest atoms and distances in Å follow each position.
Atoms (fractional coordinates):
Sc: 0.0000 0.0000 0.0000  4 Be 2.76, 4 Sc 2.99
Sc: 0.5000 0.5000 0.3227  4 Al 2.99, 8 Sc 2.99-3.27
Be: 0.5000 0.5000 0.7703  4 Al 2.51, 4 Sc 2.76
Al: 0.0000 0.0000 0.5953  4 Be 2.51

Here is Sc2BeAl at its PBEsol-relaxed geometry from the Alexandria database. Energies are from meta-GGA SCAN.

ΔH_f (0 K)   -120 meV per atom
Total magnetization   0.00 μB per cell
E above lowest polymorph   131 meV per atom

Lattice parameters (Å, degrees): 5.7566 5.7566 5.7566 41.24 41.24 41.24
Closest atoms and distances in Å follow each position.
Atoms (fractional coordinates):
Sc: 0.0000 0.0000 0.0000  3 Al 2.78, 3 Be 3.02, 3 Sc 3.12
Sc: 0.2029 0.2029 0.2029  3 Be 2.68, 3 Al 2.89
Be: 0.7875 0.7875 0.7875  3 Al 2.37
Al: 0.4288 0.4288 0.4288  3 Be 2.37

Here is ScBeAl at its PBEsol-relaxed geometry from the Alexandria database. Energies are from meta-GGA SCAN.

ΔH_f (0 K)   -327 meV per atom
Total magnetization   0.15 μB per cell

Lattice parameters (Å, degrees): 4.1385 4.1385 3.1932 90.00 90.00 120.00
Closest atoms and distances in Å follow each position.
Atoms (fractional coordinates):
Sc: 0.0000 0.0000 0.0000  6 Al 2.87, 6 Be 2.87, 2 Sc 3.19
Be: 0.6667 0.3333 0.5000  3 Al 2.39
Al: 0.3333 0.6667 0.5000  3 Be 2.39

Here is Be2AlSe at its PBEsol-relaxed geometry from the Alexandria database. Energies are from meta-GGA SCAN.

Total magnetization   0.00 μB per cell
ΔE_f (raw)   268 meV per atom
E above lowest polymorph   0 meV per atom

Lattice parameters (Å, degrees): 3.2424 3.2424 5.4486 90.00 90.00 90.00
Closest atoms and distances in Å follow each position.
Atoms (fractional coordinates):
Be: 0.0000 0.0000 0.0000  1 Se 2.17
Be: 0.5000 0.5000 0.3085  4 Se 2.34
Al: 0.5000 0.5000 0.8085  6 Be 2.52-2.72
Se: 0.0000 0.0000 0.3981  5 Be 2.17-2.34

Here is Be2AlSe at its PBEsol-relaxed geometry from the Alexandria database. Energies are from meta-GGA SCAN.

Total magnetization   0.00 μB per cell
ΔE_f (raw)   432 meV per atom
E above lowest polymorph   165 meV per atom

Lattice parameters (Å, degrees): 2.6908 2.6908 7.7084 90.00 90.00 90.00
Closest atoms and distances in Å follow each position.
Atoms (fractional coordinates):
Be: 0.0000 0.0000 0.0000  4 Be 2.23
Be: 0.5000 0.5000 0.1498  4 Be 2.23
Al: 0.5000 0.5000 0.7786  5 Be 2.56-2.86, 4 Al 2.69
Se: 0.0000 0.0000 0.4545  4 Se 2.69

Here is Be2Al2Se at its PBEsol-relaxed geometry from the Alexandria database. Energies are from meta-GGA SCAN.

Total magnetization   0.00 μB per cell
ΔE_f (raw)   280 meV per atom

Lattice parameters (Å, degrees): 6.3012 6.3012 3.6032 90.00 90.00 90.00
Closest atoms and distances in Å follow each position.
Atoms (fractional coordinates):
Be: 0.1198 0.3802 0.0000  1 Be 2.13
Be: 0.3802 0.8802 0.0000  1 Be 2.13
Be: 0.6198 0.1198 0.0000  1 Be 2.13
Be: 0.8802 0.6198 0.0000  1 Be 2.13
Al: 0.1601 0.6601 0.5000  6 Be 2.53-2.66
Al: 0.3399 0.1601 0.5000  6 Be 2.53-2.66
Al: 0.6601 0.8399 0.5000  6 Be 2.53-2.66
Al: 0.8399 0.3399 0.5000  6 Be 2.53-2.66
Se: 0.0000 0.0000 0.0000  4 Be 2.51
Se: 0.5000 0.5000 0.0000  4 Be 2.51

Here is Be2AlSe at its PBEsol-relaxed geometry from the Alexandria database. Energies are from meta-GGA SCAN.

Total magnetization   0.00 μB per cell
ΔE_f (raw)   422 meV per atom
E above lowest polymorph   154 meV per atom

Lattice parameters (Å, degrees): 4.2941 4.2941 3.1928 90.00 90.00 109.47
Closest atoms and distances in Å follow each position.
Atoms (fractional coordinates):
Be: 0.0000 0.5000 0.0000  2 Be 2.48, 4 Se 2.68, 4 Al 2.68
Be: 0.5000 0.0000 0.0000  2 Be 2.48, 4 Se 2.68, 4 Al 2.68
Al: 0.0000 0.0000 0.5000  2 Se 2.48, 8 Be 2.68
Se: 0.5000 0.5000 0.5000  2 Al 2.48, 8 Be 2.68

Here is Be2AlSi at its PBEsol-relaxed geometry from the Alexandria database. Energies are from meta-GGA SCAN.

Total magnetization   0.00 μB per cell
ΔE_f (raw)   373 meV per atom

Lattice parameters (Å, degrees): 7.9188 7.9188 7.9188 152.13 152.13 39.83
Closest atoms and distances in Å follow each position.
Atoms (fractional coordinates):
Be: 0.0854 0.6250 0.9604  2 Si 2.24, 2 Al 2.37, 2 Be 2.49
Be: 0.3750 0.3354 0.4604  2 Si 2.24, 2 Al 2.37, 2 Be 2.49
Be: 0.6646 0.1250 0.0396  2 Si 2.24, 2 Al 2.37, 2 Be 2.49
Be: 0.8750 0.9146 0.5396  2 Si 2.24, 2 Al 2.37, 2 Be 2.49
Al: 0.2500 0.7500 0.5000  4 Be 2.37
Al: 0.5000 0.5000 0.0000  4 Be 2.37
Si: 0.0000 0.0000 0.0000  4 Be 2.24
Si: 0.7500 0.2500 0.5000  4 Be 2.24

Number 1: V 64 Å³ per cell. Number 2: V 63 Å³ per cell. Number 3: V 69 Å³ per cell. Number 4: V 69 Å³ per cell. Number 5: V 69 Å³ per cell. Number 6: V 75 Å³ per cell. Number 7: V 47 Å³ per cell. Number 8: V 57 Å³ per cell. Number 9: V 56 Å³ per cell. Number 10: V 143 Å³ per cell. Number 11: V 56 Å³ per cell. Number 12: V 108 Å³ per cell.